Li2In2Sn | PBE | optimized geometry

Offset from the most stable computed form (eV/f.u.): 0.00
ΔE_f (meV/atom): -225
SG: C2/m (12)
Magnetization (μB per formula unit): 0.00

Cell and atoms, written as POSCAR:
```
Li2In2Sn
1.0
-1.459 1.457 -3.852
5.117 -1.150 0.104
-5.240 -4.575 0.255
Li In Sn
2 2 1
Cartesian
-2.427 -3.901 -0.556
0.846 -0.367 -2.937
0.390 -3.091 -1.317
-1.971 -1.178 -2.176
0.000 0.000 0.000
```


Tb4ErTm2Mg | PBE | optimized geometry

ΔE_f (meV/atom): 17
SG: P4/mmm (123)
Magnetization (μB per formula unit): 0.00

Cell and atoms, written as POSCAR:
```
Tb4ErTm2Mg
1.0
-2.464 -3.689 -2.215
3.764 -0.604 -3.181
7.914 -7.057 2.948
Tb Tm Er Mg
4 2 1 1
Cartesian
5.658 -7.306 0.322
8.770 -5.762 -0.161
3.556 -4.044 -2.771
0.444 -5.588 -2.288
2.725 -5.373 0.366
7.914 -7.057 2.948
5.839 -3.830 -0.117
8.563 -9.203 0.249
```


Ba2Br5N2 | PBE | optimized geometry

Uncorrected formation energy (meV per atom): -573
SG: Ima2 (46)
Magnetization (μB per formula unit): 3.00

Cell and atoms, written as POSCAR:
```
Ba2Br5N2
1.0
8.044 -0.013 -2.596
-1.023 6.371 -3.200
-0.668 1.687 11.680
Ba Br N
4 10 4
Cartesian
3.955 1.869 3.884
0.532 0.000 -0.172
4.043 3.178 -3.070
-0.758 6.182 3.019
6.379 2.286 -0.664
1.973 4.412 3.116
2.247 2.980 0.288
6.666 1.605 5.779
6.119 3.631 2.207
-0.046 5.071 6.936
3.866 5.754 5.292
0.334 6.440 -0.104
4.439 5.914 -1.142
2.561 2.130 6.817
4.932 6.242 6.692
6.423 1.796 -2.422
0.923 6.163 8.033
2.388 1.887 -1.167
```